Arrangement A

{
  "formula": "PuVMo",
  "functional": "PBE",
  "state": "optimized geometry",
  "lattice_angstrom": [[-1.5694, 1.5694, 5.3709], [1.5694, -1.5694, 5.3709], [1.5694, 1.5694, -5.3709]],
  "species": ["Pu", "V", "Mo"],
  "fractional_positions": [[0.0000, 0.0000, 0.0000], [0.3138, 0.3138, 0.0000], [0.6855, 0.6855, 0.0000]],
  "dos_at_fermi_per_ev_atom": 1.610,
  "rho_g_cm3": 12.267,
  "vol_a3_per_cell": 52.91,
  "sg": "I4mm, No. 107"
}


Arrangement B

{
  "formula": "PuVMo",
  "functional": "PBE",
  "state": "optimized geometry",
  "lattice_angstrom": [[1.9434, 1.1220, 7.6797], [-1.9434, 1.1220, 7.6797], [0.0000, -2.2441, 7.6797]],
  "species": ["Pu", "Pu", "V", "V", "Mo", "Mo"],
  "fractional_positions": [[0.1922, 0.1922, 0.1922], [0.8078, 0.8078, 0.8078], [0.3538, 0.3538, 0.3538], [0.6462, 0.6462, 0.6462], [0.0645, 0.0645, 0.0645], [0.9355, 0.9355, 0.9355]],
  "dos_at_fermi_per_ev_atom": 1.769,
  "rho_g_cm3": 12.920,
  "vol_a3_per_cell": 100.48,
  "sg": "R-3m, No. 166"
}


It is arrangement B that is the least stable of them.


Arrangement A

{
  "formula": "PuZrMo",
  "functional": "PBE",
  "state": "optimized geometry",
  "lattice_angstrom": [[3.2196, 0.0000, 0.0000], [0.0000, 4.5038, 0.0000], [0.0000, 0.0000, 8.4951]],
  "species": ["Pu", "Pu", "Zr", "Zr", "Mo", "Mo"],
  "fractional_positions": [[0.0000, 0.0000, 0.1790], [0.0000, 0.0000, 0.8210], [0.5000, 0.0000, 0.5000], [0.5000, 0.5000, 0.0000], [0.0000, 0.5000, 0.3251], [0.0000, 0.5000, 0.6749]],
  "dos_at_fermi_per_ev_atom": 2.134,
  "rho_g_cm3": 11.624,
  "vol_a3_per_cell": 123.18,
  "sg": "Pmmm, No. 47"
}


Arrangement B

{
  "formula": "PuZrMo",
  "functional": "PBE",
  "state": "optimized geometry",
  "lattice_angstrom": [[-1.6874, 1.6874, 5.2997], [1.6874, -1.6874, 5.2997], [1.6874, 1.6874, -5.2997]],
  "species": ["Pu", "Zr", "Mo"],
  "fractional_positions": [[0.0000, 0.0000, 0.0000], [0.3112, 0.3112, 0.0000], [0.6478, 0.6478, 0.0000]],
  "dos_at_fermi_per_ev_atom": 1.975,
  "rho_g_cm3": 11.861,
  "vol_a3_per_cell": 60.36,
  "sg": "I4mm, No. 107"
}


It is arrangement A that is the least stable of them.


Arrangement A

{
  "formula": "PuZr2Mo",
  "functional": "PBE",
  "state": "optimized geometry",
  "lattice_angstrom": [[1.6070, 0.9278, 10.2747], [-1.6070, 0.9278, 10.2747], [0.0000, -1.8555, 10.2747]],
  "species": ["Pu", "Zr", "Zr", "Mo"],
  "fractional_positions": [[0.0000, 0.0000, 0.0000], [0.0997, 0.0997, 0.0997], [0.9003, 0.9003, 0.9003], [0.5000, 0.5000, 0.5000]],
  "dos_at_fermi_per_ev_atom": 2.718,
  "rho_g_cm3": 9.438,
  "vol_a3_per_cell": 91.91,
  "sg": "R-3m, No. 166"
}


Arrangement B

{
  "formula": "PuZr2Mo",
  "functional": "PBE",
  "state": "optimized geometry",
  "lattice_angstrom": [[3.3490, 0.0000, 0.0000], [0.0000, 3.3490, 0.0000], [0.0000, 0.0000, 7.7852]],
  "species": ["Pu", "Zr", "Zr", "Mo"],
  "fractional_positions": [[0.0000, 0.0000, 0.0000], [0.5000, 0.5000, 0.2932], [0.5000, 0.5000, 0.7068], [0.0000, 0.0000, 0.5000]],
  "dos_at_fermi_per_ev_atom": 2.077,
  "rho_g_cm3": 9.934,
  "vol_a3_per_cell": 87.32,
  "sg": "P4/mmm, No. 123"
}


It is arrangement A that is the least stable of them.


Arrangement A

{
  "formula": "RbMo",
  "functional": "PBE",
  "state": "optimized geometry",
  "lattice_angstrom": [[0.0000, 3.8283, 3.8283], [3.8283, 0.0000, 3.8283], [3.8283, 3.8283, 0.0000]],
  "species": ["Rb", "Mo"],
  "fractional_positions": [[0.0000, 0.0000, 0.0000], [0.5000, 0.5000, 0.5000]],
  "dos_at_fermi_per_ev_atom": 0.333,
  "rho_g_cm3": 2.684,
  "vol_a3_per_cell": 112.21,
  "sg": "Fm-3m, No. 225"
}


Arrangement B

{
  "formula": "RbMo",
  "functional": "PBE",
  "state": "optimized geometry",
  "lattice_angstrom": [[-5.2738, 5.2738, 5.2738], [5.2738, -5.2738, 5.2738], [5.2738, 5.2738, -5.2738]],
  "species": ["Rb", "Rb", "Rb", "Rb", "Mo", "Mo", "Mo", "Mo"],
  "fractional_positions": [[0.0000, 0.0000, 0.5598], [0.0000, 0.5598, 0.0000], [0.4402, 0.4402, 0.4402], [0.5598, 0.0000, 0.0000], [0.0000, 0.0000, 0.1613], [0.0000, 0.1613, 0.0000], [0.1613, 0.0000, 0.0000], [0.8387, 0.8387, 0.8387]],
  "dos_at_fermi_per_ev_atom": 0.432,
  "rho_g_cm3": 2.054,
  "vol_a3_per_cell": 586.70,
  "sg": "I-43m, No. 217"
}


It is arrangement A that is the least stable of them.


Arrangement A

{
  "formula": "RbMo",
  "functional": "PBE",
  "state": "optimized geometry",
  "lattice_angstrom": [[-7.8707, 7.8707, 1.6273], [7.8707, -7.8707, 1.6273], [7.8707, 7.8707, -1.6273]],
  "species": ["Rb", "Rb", "Rb", "Rb", "Mo", "Mo", "Mo", "Mo"],
  "fractional_positions": [[0.0302, 0.2600, 0.2902], [0.2600, 0.9698, 0.2298], [0.7400, 0.0302, 0.7702], [0.9698, 0.7400, 0.7098], [0.1983, 0.7483, 0.9466], [0.2517, 0.1983, 0.4500], [0.7483, 0.8017, 0.5500], [0.8017, 0.2517, 0.0534]],
  "dos_at_fermi_per_ev_atom": 1.058,
  "rho_g_cm3": 2.988,
  "vol_a3_per_cell": 403.22,
  "sg": "I4/m, No. 87"
}


Arrangement B

{
  "formula": "RbMo",
  "functional": "PBE",
  "state": "optimized geometry",
  "lattice_angstrom": [[0.0000, 5.4970, 8.2925], [3.4757, 0.0000, 8.2925], [3.4757, 5.4970, 0.0000]],
  "species": ["Rb", "Rb", "Rb", "Rb", "Mo", "Mo", "Mo", "Mo"],
  "fractional_positions": [[0.0386, 0.7114, 0.0386], [0.2886, 0.9614, 0.2886], [0.7114, 0.0386, 0.7114], [0.9614, 0.2886, 0.9614], [0.3139, 0.3139, 0.4361], [0.4361, 0.4361, 0.3139], [0.5639, 0.5639, 0.6861], [0.6861, 0.6861, 0.5639]],
  "dos_at_fermi_per_ev_atom": 0.839,
  "rho_g_cm3": 3.803,
  "vol_a3_per_cell": 316.87,
  "sg": "Fddd, No. 70"
}


It is arrangement B that is the least stable of them.


Arrangement A

{
  "formula": "RbReMo3",
  "functional": "PBE",
  "state": "optimized geometry",
  "lattice_angstrom": [[4.9146, 0.0000, 0.0000], [0.0000, 4.9146, 0.0000], [0.0000, 0.0000, 4.9146]],
  "species": ["Rb", "Re", "Mo", "Mo", "Mo"],
  "fractional_positions": [[0.0000, 0.0000, 0.0000], [0.5000, 0.5000, 0.5000], [0.0000, 0.5000, 0.5000], [0.5000, 0.0000, 0.5000], [0.5000, 0.5000, 0.0000]],
  "dos_at_fermi_per_ev_atom": 1.144,
  "rho_g_cm3": 7.827,
  "vol_a3_per_cell": 118.70,
  "sg": "Pm-3m, No. 221"
}


Arrangement B

{
  "formula": "RbReMo3",
  "functional": "PBE",
  "state": "optimized geometry",
  "lattice_angstrom": [[4.5736, 0.0000, 0.0000], [0.0000, 4.5736, 0.0000], [0.0000, 0.0000, 4.5736]],
  "species": ["Rb", "Re", "Mo", "Mo", "Mo"],
  "fractional_positions": [[0.0000, 0.0000, 0.0000], [0.5000, 0.5000, 0.5000], [0.0000, 0.0000, 0.5000], [0.0000, 0.5000, 0.0000], [0.5000, 0.0000, 0.0000]],
  "dos_at_fermi_per_ev_atom": 1.050,
  "rho_g_cm3": 9.711,
  "vol_a3_per_cell": 95.67,
  "sg": "Pm-3m, No. 221"
}


It is arrangement B that is the least stable of them.


Arrangement A

{
  "formula": "RbRe2Mo",
  "functional": "PBE",
  "state": "optimized geometry",
  "lattice_angstrom": [[0.0000, 3.2851, 3.2851], [3.2851, 0.0000, 3.2851], [3.2851, 3.2851, 0.0000]],
  "species": ["Rb", "Re", "Re", "Mo"],
  "fractional_positions": [[0.0000, 0.0000, 0.0000], [0.2500, 0.2500, 0.2500], [0.7500, 0.7500, 0.7500], [0.5000, 0.5000, 0.5000]],
  "dos_at_fermi_per_ev_atom": 1.231,
  "rho_g_cm3": 12.970,
  "vol_a3_per_cell": 70.90,
  "sg": "Fm-3m, No. 225"
}


Arrangement B

{
  "formula": "RbRe2Mo",
  "functional": "PBE",
  "state": "optimized geometry",
  "lattice_angstrom": [[-2.5476, 2.5476, 8.5722], [2.5476, -2.5476, 8.5722], [2.5476, 2.5476, -8.5722]],
  "species": ["Rb", "Rb", "Re", "Re", "Re", "Re", "Mo", "Mo"],
  "fractional_positions": [[0.3750, 0.6250, 0.7500], [0.6250, 0.3750, 0.2500], [0.0000, 0.0000, 0.0000], [0.0000, 0.0000, 0.5000], [0.0000, 0.5000, 0.0000], [0.5000, 0.0000, 0.5000], [0.1250, 0.8750, 0.2500], [0.8750, 0.1250, 0.7500]],
  "dos_at_fermi_per_ev_atom": 1.283,
  "rho_g_cm3": 8.265,
  "vol_a3_per_cell": 222.55,
  "sg": "I4_1/amd, No. 141"
}


It is arrangement A that is the least stable of them.


Arrangement A

{
  "formula": "RbMoRh2",
  "functional": "PBE",
  "state": "optimized geometry",
  "lattice_angstrom": [[0.0000, 3.3190, 3.3190], [3.3190, 0.0000, 3.3190], [3.3190, 3.3190, 0.0000]],
  "species": ["Rb", "Mo", "Rh", "Rh"],
  "fractional_positions": [[0.0000, 0.0000, 0.0000], [0.5000, 0.5000, 0.5000], [0.2500, 0.2500, 0.2500], [0.7500, 0.7500, 0.7500]],
  "dos_at_fermi_per_ev_atom": 1.183,
  "rho_g_cm3": 8.793,
  "vol_a3_per_cell": 73.12,
  "sg": "Fm-3m, No. 225"
}


Arrangement B

{
  "formula": "RbMoRh2",
  "functional": "PBE",
  "state": "optimized geometry",
  "lattice_angstrom": [[-3.7279, 3.7279, 3.4840], [3.7279, -3.7279, 3.4840], [3.7279, 3.7279, -3.4840]],
  "species": ["Rb", "Rb", "Mo", "Mo", "Rh", "Rh", "Rh", "Rh"],
  "fractional_positions": [[0.0000, 0.0000, 0.0000], [0.7500, 0.2500, 0.5000], [0.2500, 0.7500, 0.5000], [0.5000, 0.5000, 0.0000], [0.2074, 0.6250, 0.0824], [0.3750, 0.4574, 0.5824], [0.5426, 0.1250, 0.9176], [0.8750, 0.7926, 0.4176]],
  "dos_at_fermi_per_ev_atom": 1.424,
  "rho_g_cm3": 6.640,
  "vol_a3_per_cell": 193.67,
  "sg": "I-42d, No. 122"
}


It is arrangement A that is the least stable of them.


Arrangement A

{
  "formula": "Rb2MoRh",
  "functional": "PBE",
  "state": "optimized geometry",
  "lattice_angstrom": [[0.0000, 4.0118, 4.0118], [4.0118, 0.0000, 4.0118], [4.0118, 4.0118, 0.0000]],
  "species": ["Rb", "Rb", "Mo", "Rh"],
  "fractional_positions": [[0.2500, 0.2500, 0.2500], [0.7500, 0.7500, 0.7500], [0.0000, 0.0000, 0.0000], [0.5000, 0.5000, 0.5000]],
  "dos_at_fermi_per_ev_atom": 0.536,
  "rho_g_cm3": 4.755,
  "vol_a3_per_cell": 129.14,
  "sg": "Fm-3m, No. 225"
}


Arrangement B

{
  "formula": "Rb2MoRh",
  "functional": "PBE",
  "state": "optimized geometry",
  "lattice_angstrom": [[-6.4778, 6.4778, 2.3846], [6.4778, -6.4778, 2.3846], [6.4778, 6.4778, -2.3846]],
  "species": ["Rb", "Rb", "Rb", "Rb", "Mo", "Mo", "Rh", "Rh"],
  "fractional_positions": [[0.3750, 0.1929, 0.3179], [0.8071, 0.1250, 0.1821], [0.8750, 0.0571, 0.6821], [0.9429, 0.6250, 0.8179], [0.2500, 0.7500, 0.5000], [0.5000, 0.5000, 0.0000], [0.0000, 0.0000, 0.0000], [0.7500, 0.2500, 0.5000]],
  "dos_at_fermi_per_ev_atom": 1.064,
  "rho_g_cm3": 3.068,
  "vol_a3_per_cell": 400.25,
  "sg": "I-42d, No. 122"
}


It is arrangement A that is the least stable of them.


Arrangement A

{
  "formula": "RbMo2Rh",
  "functional": "PBE",
  "state": "optimized geometry",
  "lattice_angstrom": [[-2.4910, 2.4910, 8.8668], [2.4910, -2.4910, 8.8668], [2.4910, 2.4910, -8.8668]],
  "species": ["Rb", "Rb", "Mo", "Mo", "Mo", "Mo", "Rh", "Rh"],
  "fractional_positions": [[0.3750, 0.6250, 0.7500], [0.6250, 0.3750, 0.2500], [0.0000, 0.0000, 0.0000], [0.0000, 0.0000, 0.5000], [0.0000, 0.5000, 0.0000], [0.5000, 0.0000, 0.5000], [0.1250, 0.8750, 0.2500], [0.8750, 0.1250, 0.7500]],
  "dos_at_fermi_per_ev_atom": 1.424,
  "rho_g_cm3": 5.738,
  "vol_a3_per_cell": 220.07,
  "sg": "I4_1/amd, No. 141"
}


Arrangement B

{
  "formula": "RbMo2Rh",
  "functional": "PBE",
  "state": "optimized geometry",
  "lattice_angstrom": [[0.0000, 3.2739, 3.2739], [3.2739, 0.0000, 3.2739], [3.2739, 3.2739, 0.0000]],
  "species": ["Rb", "Mo", "Mo", "Rh"],
  "fractional_positions": [[0.0000, 0.0000, 0.0000], [0.2500, 0.2500, 0.2500], [0.7500, 0.7500, 0.7500], [0.5000, 0.5000, 0.5000]],
  "dos_at_fermi_per_ev_atom": 1.403,
  "rho_g_cm3": 8.997,
  "vol_a3_per_cell": 70.18,
  "sg": "Fm-3m, No. 225"
}


It is arrangement B that is the least stable of them.


Arrangement A

{
  "formula": "RbMoRu2",
  "functional": "PBE",
  "state": "optimized geometry",
  "lattice_angstrom": [[0.0000, 3.2816, 3.2816], [3.2816, 0.0000, 3.2816], [3.2816, 3.2816, 0.0000]],
  "species": ["Rb", "Mo", "Ru", "Ru"],
  "fractional_positions": [[0.0000, 0.0000, 0.0000], [0.5000, 0.5000, 0.5000], [0.2500, 0.2500, 0.2500], [0.7500, 0.7500, 0.7500]],
  "dos_at_fermi_per_ev_atom": 1.132,
  "rho_g_cm3": 9.011,
  "vol_a3_per_cell": 70.68,
  "sg": "Fm-3m, No. 225"
}


Arrangement B

{
  "formula": "RbMoRu2",
  "functional": "PBE",
  "state": "optimized geometry",
  "lattice_angstrom": [[-3.6946, 3.6946, 3.2820], [3.6946, -3.6946, 3.2820], [3.6946, 3.6946, -3.2820]],
  "species": ["Rb", "Rb", "Mo", "Mo", "Ru", "Ru", "Ru", "Ru"],
  "fractional_positions": [[0.0000, 0.0000, 0.0000], [0.7500, 0.2500, 0.5000], [0.2500, 0.7500, 0.5000], [0.5000, 0.5000, 0.0000], [0.1976, 0.6250, 0.0726], [0.3750, 0.4476, 0.5726], [0.5524, 0.1250, 0.9274], [0.8750, 0.8024, 0.4274]],
  "dos_at_fermi_per_ev_atom": 1.148,
  "rho_g_cm3": 7.108,
  "vol_a3_per_cell": 179.19,
  "sg": "I-42d, No. 122"
}


It is arrangement A that is the least stable of them.


Arrangement A

{
  "formula": "RbMoRu3",
  "functional": "PBE",
  "state": "optimized geometry",
  "lattice_angstrom": [[4.6000, 0.0000, 0.0000], [0.0000, 4.6000, 0.0000], [0.0000, 0.0000, 4.6000]],
  "species": ["Rb", "Mo", "Ru", "Ru", "Ru"],
  "fractional_positions": [[0.0000, 0.0000, 0.0000], [0.5000, 0.5000, 0.5000], [0.0000, 0.0000, 0.5000], [0.0000, 0.5000, 0.0000], [0.5000, 0.0000, 0.0000]],
  "dos_at_fermi_per_ev_atom": 2.844,
  "rho_g_cm3": 8.267,
  "vol_a3_per_cell": 97.34,
  "sg": "Pm-3m, No. 221"
}


Arrangement B

{
  "formula": "RbMoRu3",
  "functional": "PBE",
  "state": "optimized geometry",
  "lattice_angstrom": [[4.8307, 0.0000, 0.0000], [0.0000, 4.8307, 0.0000], [0.0000, 0.0000, 4.8307]],
  "species": ["Rb", "Mo", "Ru", "Ru", "Ru"],
  "fractional_positions": [[0.0000, 0.0000, 0.0000], [0.5000, 0.5000, 0.5000], [0.0000, 0.5000, 0.5000], [0.5000, 0.0000, 0.5000], [0.5000, 0.5000, 0.0000]],
  "dos_at_fermi_per_ev_atom": 2.194,
  "rho_g_cm3": 7.139,
  "vol_a3_per_cell": 112.72,
  "sg": "Pm-3m, No. 221"
}


It is arrangement A that is the least stable of them.